Below is an optimized crystal structure of Pm3DyY2Te6, with properties calculated at the PBE-GGA level.

a = 4.385 Å, b = 8.892 Å, c = 9.884 Å
α = 103.48°, β = 102.82°, γ = 90.00°
Positions (direct):
1 Pm 0.167 0.833 0.334
2 Pm 0.833 0.167 0.666
3 Pm 0.500 0.500 0.000
4 Te 0.002 0.244 0.004
5 Te 0.331 0.422 0.663
6 Te 0.336 0.913 0.671
7 Te 0.664 0.087 0.329
8 Te 0.669 0.578 0.337
9 Te 0.998 0.756 0.996
10 Y 0.167 0.333 0.334
11 Y 0.833 0.667 0.666
12 Dy 0.500 0.000 0.000

Results
For the mass density, the calculation gives 7.01 g cm⁻³. The formation energy without anion corrections comes out at -1.357 eV/atom.